Entry 1:
Here is a relaxed Pa2AlO crystal from Alexandria. Energies are from GGA-PBE.

a b c (Å): 3.157 3.157 9.626
angles (deg): 80.56 80.56 60.00
Positions (direct):
O 0.500 0.500 0.500
Pa 0.108 0.108 0.675
Al 0.000 0.000 0.000
Pa 0.892 0.892 0.325

Space-group type: R-3m (166)
ΔE_f (raw) (kJ/mol of atoms): -77.5

=====

Entry 2:
Here is a relaxed PaAlO4 crystal from Alexandria. Energies are from GGA-PBE.

a b c (Å): 5.179 5.179 9.392
angles (deg): 90.00 90.00 90.00
Positions (direct):
O 0.281 0.154 0.869
O 0.154 0.719 0.131
O 0.846 0.719 0.369
Al 0.500 0.000 0.750
O 0.281 0.846 0.631
O 0.846 0.281 0.131
O 0.719 0.154 0.631
O 0.719 0.846 0.869
O 0.154 0.281 0.369
Al 0.000 0.500 0.250
Pa 0.000 0.000 0.000
Pa 0.000 0.000 0.500

ΔE to the lowest computed polymorph (eV/atom): 0.412
Space-group type: P-42c (112)
ΔE_f (raw) (kJ/mol of atoms): -282.6

=====

Entry 3:
Here is a relaxed Pa3AlO crystal from Alexandria. Energies are from GGA-PBE.

a b c (Å): 4.714 4.714 4.714
angles (deg): 90.00 90.00 90.00
Positions (direct):
Pa 0.000 0.500 0.000
O 0.000 0.000 0.000
Pa 0.000 0.000 0.500
Pa 0.500 0.000 0.000
Al 0.500 0.500 0.500

Space-group type: Pm-3m (221)
ΔE_f (raw) (kJ/mol of atoms): -92.6

=====

Entry 4:
Here is a relaxed Pa4Al6O19 crystal from Alexandria. Energies are from GGA-PBE.

a b c (Å): 7.534 7.534 7.534
angles (deg): 109.47 109.47 109.47
Positions (direct):
O 0.335 0.335 0.000
O 0.750 0.383 0.711
Pa 0.000 0.683 0.000
O 0.328 0.617 0.367
O 0.665 0.000 0.665
O 0.000 0.665 0.665
O 0.961 0.633 0.250
O 0.039 0.289 0.672
Pa 0.317 0.317 0.317
Al 0.161 0.661 0.500
O 0.000 0.335 0.335
O 0.250 0.961 0.633
O 0.617 0.367 0.328
Al 0.839 0.339 0.500
O 0.000 0.000 0.000
O 0.289 0.672 0.039
O 0.665 0.665 0.000
Al 0.500 0.839 0.339
O 0.711 0.750 0.383
Al 0.500 0.161 0.661
O 0.367 0.328 0.617
Pa 0.000 0.000 0.683
Pa 0.683 0.000 0.000
O 0.633 0.250 0.961
O 0.335 0.000 0.335
Al 0.339 0.500 0.839
Al 0.661 0.500 0.161
O 0.383 0.711 0.750
O 0.672 0.039 0.289

Space-group type: I23 (197)
ΔE_f (raw) (kJ/mol of atoms): -297.5

=====

Entry 5:
Here is a relaxed PaAl2O5 crystal from Alexandria. Energies are from GGA-PBE.

a b c (Å): 3.401 5.026 11.393
angles (deg): 90.00 90.00 90.00
Each line ends with the local moment (μB).
Positions (direct):
O 0.500 0.433 0.500  -0.01
O 0.500 0.565 0.824  0.00
O 0.000 0.079 0.883  -0.02
Al 0.500 0.578 0.345  0.00
Al 0.500 0.578 0.655  0.00
O 0.000 0.567 0.000  -0.01
O 0.000 0.435 0.676  0.00
O 0.500 0.565 0.176  0.00
Pa 0.500 0.901 0.000  1.00
O 0.500 0.921 0.383  -0.02
O 0.500 0.921 0.617  -0.02
O 0.000 0.435 0.324  0.00
Al 0.000 0.422 0.155  0.00
Al 0.000 0.422 0.845  0.00
Pa 0.000 0.099 0.500  1.00
O 0.000 0.079 0.117  -0.02

Space-group type: Pmmn (59)
ΔE_f (raw) (kJ/mol of atoms): -297.3

=====

Entry 6:
Here is a relaxed PaAlO4 crystal from Alexandria. Energies are from GGA-PBE.

a b c (Å): 5.889 5.889 5.889
angles (deg): 107.77 107.77 112.92
Positions (direct):
Al 0.500 0.500 0.000
O 0.065 0.378 0.312
O 0.247 0.935 0.312
O 0.685 0.497 0.812
Al 0.250 0.750 0.500
O 0.503 0.315 0.188
Pa 0.750 0.250 0.500
O 0.065 0.753 0.688
O 0.622 0.935 0.688
Pa 0.000 0.000 0.000
O 0.128 0.315 0.812
O 0.685 0.872 0.188

ΔE to the lowest computed polymorph (eV/atom): 0.000
Space-group type: I4_1/amd (141)
ΔE_f (raw) (kJ/mol of atoms): -322.4

=====

Entry 7:
Here is a relaxed PaAlO5 crystal from Alexandria. Energies are from GGA-PBE.

a b c (Å): 5.423 5.423 7.383
angles (deg): 68.44 68.44 71.67
Each line ends with the local moment (μB).
Positions (direct):
O 0.736 0.790 0.613  0.34
Al 0.000 0.000 0.500  -0.01
O 0.790 0.736 0.113  0.34
O 0.692 0.287 0.969  0.26
Al 0.000 0.000 0.000  -0.01
O 0.072 0.928 0.750  0.48
O 0.308 0.713 0.031  0.26
O 0.210 0.264 0.887  0.34
O 0.264 0.210 0.387  0.34
O 0.928 0.072 0.250  0.48
O 0.287 0.692 0.469  0.26
Pa 0.546 0.454 0.250  -0.02
Pa 0.454 0.546 0.750  -0.02
O 0.713 0.308 0.531  0.26

Space-group type: C2/c (15)
ΔE_f (raw) (kJ/mol of atoms): -246.8

=====

Entry 8:
Here is a relaxed PaAlO2 crystal from Alexandria. Energies are from GGA-PBE.

a b c (Å): 2.978 2.978 6.977
angles (deg): 77.68 77.68 60.00
Each line ends with the local moment (μB).
Positions (direct):
O 0.119 0.119 0.642  0.00
O 0.881 0.881 0.358  0.00
Al 0.500 0.500 0.500  0.00
Pa 0.000 0.000 0.000  0.24

Space-group type: R-3m (166)
ΔE_f (raw) (kJ/mol of atoms): -207.6

=====

Entry 9:
Here is a relaxed PaAl2PbO8 crystal from Alexandria. Energies are from GGA-PBE.

a b c (Å): 5.099 5.099 8.093
angles (deg): 71.64 71.64 60.00
Each line ends with the local moment (μB).
Positions (direct):
O 0.554 0.229 0.319  0.23
O 0.771 0.446 0.681  0.23
O 0.670 0.670 0.989  0.60
O 0.330 0.330 0.011  0.60
O 0.446 0.102 0.681  0.23
Al 0.251 0.251 0.247  -0.01
O 0.102 0.771 0.681  0.23
Pa 0.500 0.500 0.500  -0.05
O 0.229 0.898 0.319  0.23
Al 0.749 0.749 0.753  -0.01
O 0.898 0.554 0.319  0.23
Pb 0.000 0.000 0.000  0.00

Space-group type: R32 (155)
ΔE_f (raw) (kJ/mol of atoms): -193.8

=====

Entry 10:
Here is a relaxed PaAl3Pb4O12 crystal from Alexandria. Energies are from GGA-PBE.

a b c (Å): 6.929 6.929 6.929
angles (deg): 109.47 109.47 109.47
Each line ends with the local moment (μB).
Positions (direct):
O 0.268 0.000 0.268  0.06
O 0.500 0.250 0.750  0.23
O 0.000 0.732 0.732  0.06
O 0.732 0.000 0.732  0.06
O 0.750 0.250 0.500  0.23
Al 0.500 0.500 0.000  -0.01
Pb 0.500 0.500 0.500  0.01
Pa 0.000 0.000 0.000  -0.02
Pb 0.000 0.000 0.500  0.01
O 0.732 0.732 0.000  0.06
Pb 0.000 0.500 0.000  0.01
O 0.000 0.268 0.268  0.06
O 0.500 0.750 0.250  0.23
O 0.250 0.750 0.500  0.23
O 0.268 0.268 0.000  0.06
Pb 0.500 0.000 0.000  0.01
Al 0.500 0.000 0.500  -0.01
O 0.750 0.500 0.250  0.23
O 0.250 0.500 0.750  0.23
Al 0.000 0.500 0.500  -0.01

Space-group type: Im-3m (229)
ΔE_f (raw) (kJ/mol of atoms): -195.5

=====

Entry 11:
Here is a relaxed PaAlPb2O8 crystal from Alexandria. Energies are from GGA-PBE.

a b c (Å): 4.955 4.952 6.616
angles (deg): 90.00 90.00 89.27
Positions (direct):
O 0.717 0.718 0.000
O 0.180 0.819 0.771
O 0.283 0.282 0.000
Al 0.000 0.000 0.000
O 0.180 0.819 0.229
Pa 0.000 0.000 0.500
O 0.820 0.181 0.771
O 0.311 0.309 0.500
Pb 0.500 0.500 0.233
O 0.820 0.181 0.229
O 0.689 0.691 0.500
Pb 0.500 0.500 0.767

Space-group type: P2/m (10)
ΔE_f (raw) (kJ/mol of atoms): -193.4

=====

Entry 12:
Here is a relaxed PaAlPbO6 crystal from Alexandria. Energies are from GGA-PBE.

a b c (Å): 4.824 5.265 5.265
angles (deg): 120.00 90.00 90.00
Positions (direct):
O 0.267 0.299 0.308
O 0.267 0.692 0.990
O 0.267 0.010 0.701
Pa 0.000 0.333 0.667
O 0.733 0.692 0.701
Pb 0.500 0.667 0.333
Al 0.500 0.000 0.000
O 0.733 0.010 0.308
O 0.733 0.299 0.990

Space-group type: P312 (149)
ΔE_f (raw) (kJ/mol of atoms): -234.7

=====

Entry 13:
Here is a relaxed PaAl2PdO8 crystal from Alexandria. Energies are from GGA-PBE.

a b c (Å): 4.675 4.674 6.187
angles (deg): 90.00 90.00 90.34
Each line ends with the local moment (μB).
Positions (direct):
O 0.676 0.677 0.500  0.01
Al 0.500 0.500 0.242  0.00
Pd 0.000 0.000 0.000  0.11
O 0.691 0.692 0.000  0.23
O 0.214 0.786 0.235  0.04
O 0.786 0.214 0.235  0.04
O 0.324 0.323 0.500  0.01
O 0.786 0.214 0.765  0.04
Pa 0.000 0.000 0.500  0.02
Al 0.500 0.500 0.758  0.00
O 0.309 0.308 0.000  0.23
O 0.214 0.786 0.765  0.04

Space-group type: Cmmm (65)
ΔE_f (raw) (kJ/mol of atoms): -214.9

=====

Entry 14:
Here is a relaxed PrPaAlO6 crystal from Alexandria. Energies are from GGA-PBE.

a b c (Å): 4.762 5.478 5.478
angles (deg): 120.00 90.00 90.00
Each line ends with the local moment (μB).
Positions (direct):
O 0.266 0.037 0.725  0.13
O 0.266 0.688 0.963  0.13
Al 0.500 0.000 0.000  0.00
O 0.734 0.275 0.963  0.13
O 0.734 0.037 0.312  0.13
O 0.266 0.275 0.312  0.13
O 0.734 0.688 0.725  0.13
Pa 0.000 0.333 0.667  -0.04
Pr 0.500 0.667 0.333  0.00

Space-group type: P312 (149)
ΔE_f (raw) (kJ/mol of atoms): -280.9

=====

Entry 15:
Here is a relaxed PrPaAl2O8 crystal from Alexandria. Energies are from GGA-PBE.

a b c (Å): 6.005 6.005 6.005
angles (deg): 107.73 107.73 113.01
Each line ends with the local moment (μB).
Positions (direct):
O 0.733 0.060 0.673  0.15
O 0.940 0.267 0.327  0.15
Pr 0.000 0.000 0.000  0.00
O 0.324 0.132 0.808  0.08
O 0.484 0.676 0.808  0.08
Al 0.500 0.500 0.000  0.00
O 0.868 0.676 0.192  0.08
O 0.324 0.516 0.192  0.08
O 0.387 0.060 0.327  0.15
Al 0.750 0.250 0.500  -0.01
O 0.940 0.613 0.673  0.15
Pa 0.250 0.750 0.500  -0.03

Space-group type: I-4m2 (119)
ΔE_f (raw) (kJ/mol of atoms): -270.4

=====

Entry 16:
Here is a relaxed Rb2PaAlO6 crystal from Alexandria. Energies are from GGA-PBE.

a b c (Å): 5.874 5.874 5.874
angles (deg): 60.00 60.00 60.00
Each line ends with the local moment (μB).
Positions (direct):
Rb 0.066 0.066 0.802  0.00
O 0.553 0.080 0.288  0.30
O 0.080 0.552 0.815  0.30
O 0.553 0.080 0.815  0.30
O 0.080 0.553 0.288  0.30
Al 0.316 0.316 0.052  -0.01
O 0.080 0.080 0.288  0.30
Pa 0.816 0.816 0.552  -0.10
Rb 0.566 0.566 0.301  0.00
O 0.552 0.553 0.815  0.30

Space-group type: Fm-3m (225)
ΔE_f (raw) (kJ/mol of atoms): -224.3

=====

Entry 17:
Here is a relaxed RbPaAl2O6 crystal from Alexandria. Energies are from GGA-PBE.

a b c (Å): 5.829 5.829 6.946
angles (deg): 65.19 65.19 60.00
Positions (direct):
Al 0.767 0.767 0.698
O 0.515 0.692 0.704
Pa 0.500 0.500 0.500
O 0.308 0.911 0.296
O 0.485 0.308 0.296
Al 0.233 0.233 0.302
Rb 0.000 0.000 0.000
O 0.089 0.515 0.704
O 0.692 0.089 0.704
O 0.911 0.485 0.296

Space-group type: R-3 (148)
ΔE_f (raw) (kJ/mol of atoms): -269.8

=====

Entry 18:
Here is a relaxed RbPaAlO6 crystal from Alexandria. Energies are from GGA-PBE.

a b c (Å): 4.593 5.862 5.862
angles (deg): 120.00 90.00 90.00
Positions (direct):
O 0.264 0.157 0.310
O 0.264 0.153 0.843
O 0.736 0.153 0.310
Pa 0.000 0.333 0.667
Rb 0.500 0.667 0.333
O 0.736 0.690 0.843
O 0.264 0.690 0.847
Al 0.500 0.000 0.000
O 0.736 0.157 0.847

Space-group type: P312 (149)
ΔE_f (raw) (kJ/mol of atoms): -203.1

=====

Entry 19:
Here is a relaxed RbPa2AlO8 crystal from Alexandria. Energies are from GGA-PBE.

a b c (Å): 4.682 4.681 8.172
angles (deg): 89.96 89.96 90.17
Positions (direct):
O 0.709 0.709 0.000
O 0.389 0.389 0.500
Al 0.000 0.000 0.000
O 0.801 0.197 0.184
Pa 0.500 0.500 0.790
O 0.611 0.611 0.500
O 0.198 0.801 0.184
Pa 0.500 0.500 0.210
O 0.291 0.291 0.000
Rb 0.000 0.000 0.500
O 0.199 0.803 0.816
O 0.802 0.199 0.816

Space-group type: Cmmm (65)
ΔE_f (raw) (kJ/mol of atoms): -264.4

=====

Entry 20:
Here is a relaxed RbPaAlO5 crystal from Alexandria. Energies are from GGA-PBE.

a b c (Å): 6.233 6.233 8.232
angles (deg): 105.43 105.43 105.43
Each line ends with the local moment (μB).
Positions (direct):
Al 0.309 0.691 0.750  -0.01
O 0.724 0.127 0.384  0.15
O 0.944 0.056 0.750  0.10
O 0.223 0.382 0.616  0.18
O 0.127 0.724 0.884  0.15
Rb 0.332 0.668 0.250  0.00
O 0.777 0.618 0.384  0.18
O 0.056 0.944 0.250  0.10
Al 0.691 0.309 0.250  -0.01
O 0.276 0.873 0.616  0.15
O 0.873 0.276 0.116  0.15
O 0.382 0.223 0.116  0.18
O 0.618 0.777 0.884  0.18
Pa 0.000 0.000 0.500  0.01
Rb 0.668 0.332 0.750  0.00
Pa 0.000 0.000 0.000  0.01

Space-group type: C2/c (15)
ΔE_f (raw) (kJ/mol of atoms): -261.7

=====

no.,calculated density (g/cm³),final energy (eV per atom)
1,10.3,-7.73
2,4.2,-8.44
3,11.7,-8.40
4,7.0,-8.42
5,6.2,-8.30
6,6.8,-8.85
7,6.1,-7.99
8,9.3,-7.94
9,6.1,-7.04
10,8.6,-6.78
11,8.2,-7.03
12,8.0,-7.62
13,6.4,-7.38
14,6.6,-8.22
15,5.5,-7.92
16,6.1,-6.82
17,4.3,-7.57
18,5.3,-6.99
19,6.5,-8.02
20,5.1,-7.59